Record 1
Material: Sr4LiEr3S8
Method: DFT, PBE
State: optimized geometry Values from VASP.

Cell and atoms, written as Quantum ESPRESSO input:
```
&SYSTEM
  ibrav = 0, nat = 16, ntyp = 4
/
ATOMIC_SPECIES
Sr 87.62 Sr.upf
Li 6.94 Li.upf
Er 167.26 Er.upf
S 32.06 S.upf
CELL_PARAMETERS angstrom
4.0354 2.3298 6.6885
-4.0354 2.3298 6.6885
0.0000 -4.6597 6.6885
ATOMIC_POSITIONS crystal
Sr 0.0000 0.0000 0.0000
Sr 0.0000 0.5000 0.5000
Sr 0.5000 0.0000 0.5000
Sr 0.5000 0.5000 0.0000
Li 0.5000 0.5000 0.5000
Er 0.0000 0.0000 0.5000
Er 0.0000 0.5000 0.0000
Er 0.5000 0.0000 0.0000
S 0.2382 0.7430 0.7430
S 0.2419 0.2419 0.2419
S 0.2570 0.2570 0.7618
S 0.2570 0.7618 0.2570
S 0.7430 0.2382 0.7430
S 0.7430 0.7430 0.2382
S 0.7581 0.7581 0.7581
S 0.7618 0.2570 0.2570
```

Output
* uncorrected formation energy: -3083 kJ/mol of formula units
* symmetry: R-3m (166)
* electronic total energy: -5.456 eV/atom
* M_tot: 0.0000 μB per atom

Record 2
Material: Sr3LiEr3S8
Method: DFT, PBE
State: optimized geometry Values from VASP.

Cell and atoms, written as Quantum ESPRESSO input:
```
&SYSTEM
  ibrav = 0, nat = 15, ntyp = 4
/
ATOMIC_SPECIES
Sr 87.62 Sr.upf
Li 6.94 Li.upf
Er 167.26 Er.upf
S 32.06 S.upf
CELL_PARAMETERS angstrom
3.9864 2.3015 6.7768
-3.9864 2.3015 6.7768
0.0000 -4.6031 6.7768
ATOMIC_POSITIONS crystal
Sr 0.0000 0.5000 0.5000
Sr 0.5000 0.0000 0.5000
Sr 0.5000 0.5000 0.0000
Li 0.5000 0.5000 0.5000
Er 0.0000 0.0000 0.5000
Er 0.0000 0.5000 0.0000
Er 0.5000 0.0000 0.0000
S 0.2358 0.7416 0.7416
S 0.2422 0.2422 0.2422
S 0.2584 0.2584 0.7642
S 0.2584 0.7642 0.2584
S 0.7416 0.2358 0.7416
S 0.7416 0.7416 0.2358
S 0.7578 0.7578 0.7578
S 0.7642 0.2584 0.2584
```

Output
* uncorrected formation energy: -2846 kJ/mol of formula units
* symmetry: R-3m (166)
* electronic total energy: -5.544 eV/atom
* M_tot: 0.0000 μB per atom

Record 3
Material: Li3Er3TaS8
Method: DFT, PBE
State: optimized geometry Values from VASP.

Cell and atoms, written as Quantum ESPRESSO input:
```
&SYSTEM
  ibrav = 0, nat = 15, ntyp = 4
/
ATOMIC_SPECIES
Li 6.94 Li.upf
Er 167.26 Er.upf
Ta 180.95 Ta.upf
S 32.06 S.upf
CELL_PARAMETERS angstrom
3.7990 2.1933 6.1822
-3.7990 2.1933 6.1822
0.0000 -4.3867 6.1822
ATOMIC_POSITIONS crystal
Li 0.0000 0.5000 0.5000
Li 0.5000 0.0000 0.5000
Li 0.5000 0.5000 0.0000
Er 0.0000 0.0000 0.5000
Er 0.0000 0.5000 0.0000
Er 0.5000 0.0000 0.0000
Ta 0.5000 0.5000 0.5000
S 0.2510 0.2510 0.2510
S 0.2657 0.2657 0.7304
S 0.2657 0.7304 0.2657
S 0.2696 0.7343 0.7343
S 0.7304 0.2657 0.2657
S 0.7343 0.2696 0.7343
S 0.7343 0.7343 0.2696
S 0.7490 0.7490 0.7490
```

Output
* uncorrected formation energy: -2381 kJ/mol of formula units
* symmetry: R-3m (166)
* electronic total energy: -5.932 eV/atom
* M_tot: 0.0249 μB per atom

Record 4
Material: LiEr2TaS6
Method: DFT, PBE
State: optimized geometry Values from VASP.

Cell and atoms, written as Quantum ESPRESSO input:
```
&SYSTEM
  ibrav = 0, nat = 10, ntyp = 4
/
ATOMIC_SPECIES
Li 6.94 Li.upf
Er 167.26 Er.upf
Ta 180.95 Ta.upf
S 32.06 S.upf
CELL_PARAMETERS angstrom
3.3052 1.9082 5.9505
-3.3052 1.9082 5.9505
0.0000 -3.8165 5.9505
ATOMIC_POSITIONS crystal
Li 0.0000 0.0000 0.0000
Er 0.2881 0.2881 0.2881
Er 0.7906 0.7906 0.7906
Ta 0.4821 0.4821 0.4821
S 0.1001 0.6931 0.3810
S 0.2285 0.5874 0.8447
S 0.3810 0.1001 0.6931
S 0.5874 0.8447 0.2285
S 0.6931 0.3810 0.1001
S 0.8447 0.2285 0.5874
```

Output
* uncorrected formation energy: -1467 kJ/mol of formula units
* symmetry: R3 (146)
* electronic total energy: -6.286 eV/atom
* M_tot: 0.0000 μB per atom